1.
Ca3Co5Br12 | PBE-GGA | optimized geometry

Results
Its energy is -3.854 eV per atom. Its density of states at the Fermi level is 14.22 states/eV/f.u. For the uncorrected formation energy, the calculation gives -773.6 meV per atom.

```
data_Ca3Co5Br12
_symmetry_space_group_name_H-M 'I a -3 d'
_symmetry_Int_Tables_number 230
_symmetry_space_group_name_Hall '-I 4bd 2c 3'
_cell_length_a 16.0918
_cell_length_b 16.0918
_cell_length_c 16.0918
_cell_angle_alpha 90.00
_cell_angle_beta 90.00
_cell_angle_gamma 90.00
loop_
_atom_site_label
_atom_site_type_symbol
_atom_site_fract_x
_atom_site_fract_y
_atom_site_fract_z
Ca1 Ca 0.0000 0.2500 0.1250
Co1 Co 0.0000 0.0000 0.0000
Co2 Co 0.0000 0.2500 0.3750
Br1 Br 0.0284 0.0579 0.6494
```



2.
CaCoBr2 | PBE-GGA | optimized geometry

Results
Its energy is -3.757 eV per atom. Its density of states at the Fermi level is 2.82 states/eV/f.u. The energy relative to the lowest polymorph listed for this composition comes out at 0.0754 eV per atom. For the uncorrected formation energy, the calculation gives -643.4 meV per atom.

```
data_CaCoBr2
_symmetry_space_group_name_H-M 'C 1 m 1'
_symmetry_Int_Tables_number 8
_symmetry_space_group_name_Hall 'C -2y'
_cell_length_a 10.8626
_cell_length_b 3.7842
_cell_length_c 5.0819
_cell_angle_alpha 90.00
_cell_angle_beta 91.68
_cell_angle_gamma 90.00
loop_
_atom_site_label
_atom_site_type_symbol
_atom_site_fract_x
_atom_site_fract_y
_atom_site_fract_z
Ca1 Ca 0.0000 0.0000 0.0000
Co1 Co 0.3161 0.0000 0.1895
Br1 Br 0.2261 0.5000 0.9746
Br2 Br 0.4784 0.0000 0.4982
```



3.
CaCoBr | PBE-GGA | optimized geometry

Results
Its energy is -3.432 eV per atom. Its density of states at the Fermi level is 0.98 states/eV/f.u. For the uncorrected formation energy, the calculation gives 161.1 meV per atom.

```
data_CaCoBr
_symmetry_space_group_name_H-M 'F -4 3 m'
_symmetry_Int_Tables_number 216
_symmetry_space_group_name_Hall 'F -4 2 3'
_cell_length_a 6.2378
_cell_length_b 6.2378
_cell_length_c 6.2378
_cell_angle_alpha 90.00
_cell_angle_beta 90.00
_cell_angle_gamma 90.00
loop_
_atom_site_label
_atom_site_type_symbol
_atom_site_fract_x
_atom_site_fract_y
_atom_site_fract_z
Ca1 Ca 0.0000 0.0000 0.0000
Co1 Co 0.2500 0.2500 0.2500
Br1 Br 0.0000 0.0000 0.5000
```